Density functional theory data (PBE) for a relaxed CsSn2Cl5 crystal.

Lattice parameters (Å, degrees): 4.3041 8.8931 8.8931 49.69 76.00 76.00
With the nearest neighbours (Å) after each atom.
Fractional positions:
Cs1 0.0000 0.0000 0.0000  10 Cl 3.69-3.74
Sn1 0.8250 0.6750 0.6750  5 Cl 2.72-2.90
Sn2 0.1750 0.3250 0.3250  5 Cl 2.72-2.90
Cl1 0.3474 0.3962 0.9091  3 Sn 2.90-3.24
Cl2 0.0000 0.5000 0.5000  2 Sn 2.72
Cl3 0.3474 0.9091 0.3962  3 Sn 2.90-3.24
Cl4 0.6526 0.0909 0.6038  3 Sn 2.90-3.24
Cl5 0.6526 0.6038 0.0909  3 Sn 2.90-3.24

M_tot = 0.0 μB per formula unit
energy relative to the lowest polymorph listed for this composition = 3.2 kJ/mol of atoms
total energy = -3.52 eV/atom